{
  "formula": "SmAlSn",
  "functional": "PBE",
  "state": "relaxed",
  "cell": [[-3.670, 2.144, 0.202], [-1.783, -2.760, -3.099], [-0.347, -1.008, 4.389]],
  "species": ["Al", "Sn", "Sm"],
  "fractional_positions": [[0.096, 0.000, 0.000], [0.224, 0.333, 0.667], [0.680, 0.667, 0.333]],
  "formation_energy_ev_per_atom": -0.510
}

{
  "formula": "Y2ErThSe4",
  "functional": "PBE",
  "state": "relaxed",
  "cell": [[-2.872, -2.873, 0.128], [4.839, -4.744, 2.134], [0.294, 0.026, 7.178]],
  "species": ["Th", "Se", "Se", "Se", "Se", "Er", "Y", "Y"],
  "fractional_positions": [[0.500, 0.500, 0.000], [0.500, 0.249, 0.742], [0.000, 0.757, 0.739], [0.000, 0.243, 0.261], [0.500, 0.751, 0.258], [0.000, 0.500, 0.500], [0.500, 0.000, 0.500], [0.000, 0.000, 0.000]],
  "formation_energy_uncorrected_ev_per_atom": -1.672
}

What are the density values for these records? In order: 6.539, 7.559 g cm⁻³.
What are the density of states at the Fermi level values for these records? In order: 0.614, 4.418 states/eV/f.u..
What are the raw total energy values for these records? In order: -4.665, -6.529 eV per atom.